[1]
ZnCuTcMo | GGA-PBE | relaxed

POSCAR file:
```
ZnCuTcMo
1.0
-1.6527 -1.5856 3.6571
-3.7250 1.5471 1.5331
-3.5599 -2.4357 -0.1191
Cu Mo Tc Zn
1 1 1 1
direct
0.7500 0.7500 0.7500
0.5000 0.5000 0.5000
0.2500 0.2500 0.2500
0.0000 0.0000 0.0000
```

## Properties
magnetization: 0.00 μB/f.u.
E above lowest polymorph: 0.000 eV per atom
ΔH_f (0 K): 0.20 eV per atom
crystal system: cubic
space-group type: F-43m, No. 216


[2]
TcB4As | GGA-PBE | relaxed

POSCAR file:
```
TcB4As
1.0
-1.5140 2.6550 3.4669
1.5140 -2.6550 3.4669
1.5140 2.6550 -3.4669
As B Tc
1 4 1
direct
0.0000 0.0000 0.0000
0.5859 0.2501 0.3358
0.0857 0.7499 0.3358
0.9143 0.2501 0.6642
0.4141 0.7499 0.6642
0.5000 0.5000 0.0000
```

## Properties
magnetization: 0.02 μB/f.u.
E above lowest polymorph: 0.009 eV per atom
crystal system: orthorhombic
space-group type: Immm, No. 71


[3]
HgAuO3 | GGA-PBE | relaxed

POSCAR file:
```
HgAuO3
1.0
-3.8720 -2.4737 -3.1671
3.2391 0.8267 -4.6057
3.5623 -7.1423 1.2233
Au Hg O
4 4 12
direct
0.5000 0.0000 0.0000
0.0000 0.5000 0.0000
0.5000 0.0000 0.5000
0.0000 0.5000 0.5000
0.9895 0.0422 0.2500
0.5105 0.5422 0.2500
0.4895 0.4578 0.7500
0.0105 0.9578 0.7500
0.7006 0.2970 0.0662
0.7994 0.7970 0.0662
0.1107 0.4374 0.2500
0.3893 0.9374 0.2500
0.7006 0.2970 0.4338
0.7994 0.7970 0.4338
0.2006 0.2030 0.5662
0.2994 0.7030 0.5662
0.6107 0.0625 0.7500
0.8893 0.5626 0.7500
0.2006 0.2030 0.9338
0.2994 0.7030 0.9338
```

## Properties
raw total energy: -3.611 eV/atom
crystal system: orthorhombic
space-group type: Pnma, No. 62